A plane-wave DFT calculation with GGA-PBE was carried out for CdAsRhSe2 after structural relaxation.

Cell lengths 5.132, 5.132, 4.548 Å; angles 90.00, 90.00, 90.00 degrees
Fractional positions:
Cd 0.000 0.000 0.000
As 0.500 0.500 0.000
Rh 0.500 0.500 0.500
Se 0.000 0.500 0.500
Se 0.500 0.000 0.500

The value obtained for the electronic total energy is -3.735 eV/atom. The calculation puts the energy above the most stable polymorph in this dataset at 0.00 eV per formula unit. Its crystal system is tetragonal. For the energy relative to the elements, uncorrected, the calculation gives 242 meV per atom.

=====

A plane-wave DFT calculation with GGA-PBE was carried out for Hg4SeBr2O after structural relaxation.

Cell lengths 7.998, 7.998, 8.662 Å; angles 119.79, 119.79, 83.97 degrees
Fractional positions:
Hg 0.184 0.191 0.371
Hg 0.191 0.184 0.871
Hg 0.223 0.769 0.966
Hg 0.231 0.777 0.534
Hg 0.769 0.223 0.466
Hg 0.777 0.231 0.034
Hg 0.809 0.816 0.129
Hg 0.816 0.809 0.629
Se 0.000 0.500 0.500
Se 0.500 0.000 0.000
Br 0.000 0.500 0.000
Br 0.500 0.000 0.500
Br 0.500 0.500 0.000
Br 0.500 0.500 0.500
O 0.000 0.000 0.000
O 0.000 0.000 0.500

The value obtained for the electronic total energy is -1.726 eV/atom. Its crystal system is monoclinic. For the energy relative to the elements, uncorrected, the calculation gives -102 meV per atom.

=====

A plane-wave DFT calculation with GGA-PBE was carried out for NaTm2NpS4 after structural relaxation.

Cell lengths 6.780, 3.878, 6.804 Å; angles 90.00, 109.26, 90.00 degrees
Fractional positions:
Na 0.000 0.000 0.000
Tm 0.000 0.500 0.500
Tm 0.500 0.000 0.500
Np 0.500 0.500 0.000
S 0.248 0.000 0.742
S 0.255 0.500 0.263
S 0.745 0.500 0.737
S 0.752 0.000 0.258

The value obtained for the electronic total energy is -6.671 eV/atom. Its crystal system is monoclinic. For the energy relative to the elements, uncorrected, the calculation gives -1707 meV per atom.

=====

A plane-wave DFT calculation with GGA-PBE was carried out for YTaV2 after structural relaxation.

Cell lengths 4.724, 4.724, 4.724 Å; angles 60.00, 60.00, 60.00 degrees
Fractional positions:
Y 0.000 0.000 0.000
Ta 0.500 0.500 0.500
V 0.250 0.250 0.250
V 0.750 0.750 0.750

The value obtained for the electronic total energy is -8.712 eV/atom. The calculation puts the energy above the most stable polymorph in this dataset at 0.00 eV per formula unit. Its crystal system is cubic.